Entry from the Alexandria database: a geometry-optimized Nd2FeCuO6 structure (PBE with a Hubbard U).

Output
**SG**: P2_1/c, No. 14
**E**: -7.1152 eV per atom

Cell lengths 5.458, 5.636, 9.487 Å; angles 90.00, 124.91, 90.00 degrees
Positions (direct):
Nd (0.236, 0.056, 0.250)
Nd (0.236, 0.444, 0.750)
Nd (0.764, 0.556, 0.250)
Nd (0.764, 0.944, 0.750)
Fe (0.500, 0.000, 0.000)
Fe (0.500, 0.500, 0.500)
Cu (0.000, 0.000, 0.500)
Cu (0.000, 0.500, 0.000)
O (0.162, 0.205, 0.954)
O (0.162, 0.295, 0.454)
O (0.249, 0.709, 0.953)
O (0.249, 0.791, 0.453)
O (0.338, 0.023, 0.752)
O (0.338, 0.477, 0.252)
O (0.662, 0.523, 0.748)
O (0.662, 0.977, 0.248)
O (0.751, 0.209, 0.547)
O (0.751, 0.291, 0.047)
O (0.838, 0.705, 0.546)
O (0.838, 0.795, 0.046)